The following is a PBE calculation of a relaxed BaMgSO4 crystal, from Alexandria via LeMat-Bulk.

Geometry as CIF:
```
data_BaMgSO4
_chemical_formula_sum 'Ba4 Mg4 S4 O16'
_space_group_name_H-M_alt 'F -4 3 m'
_space_group_IT_number 216
_space_group_name_Hall 'F -4 2 3'
_cell_length_a 8.483
_cell_length_b 8.483
_cell_length_c 8.483
_cell_angle_alpha 90.00
_cell_angle_beta 90.00
_cell_angle_gamma 90.00
loop_
_atom_site_label
_atom_site_type_symbol
_atom_site_fract_x
_atom_site_fract_y
_atom_site_fract_z
_atom_site_occupancy
Ba1 Ba 0.000 0.000 0.000 1
Mg1 Mg 0.250 0.250 0.750 1
S1 S 0.000 0.000 0.500 1
O1 O 0.120 0.120 0.620 1
```

The following is a PBE calculation of a relaxed BaMgS2O8 crystal, from Alexandria via LeMat-Bulk.

Geometry as CIF:
```
data_BaMgS2O8
_chemical_formula_sum 'Ba3 Mg3 S6 O24'
_space_group_name_H-M_alt 'R -3'
_space_group_IT_number 148
_space_group_name_Hall '-R 3'
_cell_length_a 4.9617
_cell_length_b 4.9617
_cell_length_c 22.5012
_cell_angle_alpha 90.00
_cell_angle_beta 90.00
_cell_angle_gamma 120.00
loop_
_atom_site_label
_atom_site_type_symbol
_atom_site_fract_x
_atom_site_fract_y
_atom_site_fract_z
_atom_site_occupancy
Ba1 Ba 0.0000 0.0000 0.0000 1
Mg1 Mg 0.0000 0.0000 0.5000 1
S1 S 0.0000 0.0000 0.2423 1
O1 O 0.0000 0.0000 0.3091 1
O2 O 0.0292 0.7301 0.2225 1
```

The following is a PBE calculation of a relaxed Ba4MgSb3O12 crystal, from Alexandria via LeMat-Bulk.

Geometry as CIF:
```
data_Ba4MgSb3O12
_chemical_formula_sum 'Ba8 Mg2 Sb6 O24'
_space_group_name_H-M_alt 'I m -3 m'
_space_group_IT_number 229
_space_group_name_Hall '-I 4 2 3'
_cell_length_a 8.363
_cell_length_b 8.363
_cell_length_c 8.363
_cell_angle_alpha 90.00
_cell_angle_beta 90.00
_cell_angle_gamma 90.00
loop_
_atom_site_label
_atom_site_type_symbol
_atom_site_fract_x
_atom_site_fract_y
_atom_site_fract_z
_atom_site_occupancy
Ba1 Ba 0.250 0.250 0.250 1
Mg1 Mg 0.000 0.000 0.000 1
Sb1 Sb 0.000 0.000 0.500 1
O1 O 0.000 0.000 0.260 1
O2 O 0.000 0.250 0.500 1
```

The following is a PBE calculation of a relaxed Ba2MgSb2O6 crystal, from Alexandria via LeMat-Bulk.

Geometry as CIF:
```
data_Ba2MgSb2O6
_chemical_formula_sum 'Ba6 Mg3 Sb6 O18'
_space_group_name_H-M_alt 'R -3 m'
_space_group_IT_number 166
_space_group_name_Hall '-R 3 2"'
_cell_length_a 6.3132
_cell_length_b 6.3132
_cell_length_c 17.2449
_cell_angle_alpha 90.00
_cell_angle_beta 90.00
_cell_angle_gamma 120.00
loop_
_atom_site_label
_atom_site_type_symbol
_atom_site_fract_x
_atom_site_fract_y
_atom_site_fract_z
_atom_site_occupancy
Ba1 Ba 0.0000 0.0000 0.2076 1
Mg1 Mg 0.0000 0.0000 0.0000 1
Sb1 Sb 0.0000 0.0000 0.4179 1
O1 O 0.0360 0.5180 0.7489 1
```

The following is a PBE calculation of a relaxed Ba3MgSb2O6 crystal, from Alexandria via LeMat-Bulk.

Geometry as CIF:
```
data_Ba3MgSb2O6
_chemical_formula_sum 'Ba3 Mg1 Sb2 O6'
_space_group_name_H-M_alt 'P -3 m 1'
_space_group_IT_number 164
_space_group_name_Hall '-P 3 2"'
_cell_length_a 5.9150
_cell_length_b 5.9150
_cell_length_c 7.0657
_cell_angle_alpha 90.00
_cell_angle_beta 90.00
_cell_angle_gamma 120.00
loop_
_atom_site_label
_atom_site_type_symbol
_atom_site_fract_x
_atom_site_fract_y
_atom_site_fract_z
_atom_site_occupancy
Ba1 Ba 0.0000 0.0000 0.0000 1
Ba2 Ba 0.3333 0.6667 0.6454 1
Mg1 Mg 0.0000 0.0000 0.5000 1
Sb1 Sb 0.3333 0.6667 0.1554 1
O1 O 0.1705 0.3411 0.3209 1
```

The following is a PBE calculation of a relaxed Ba3MgSb2O9 crystal, from Alexandria via LeMat-Bulk.

Geometry as CIF:
```
data_Ba3MgSb2O9
_chemical_formula_sum 'Ba6 Mg2 Sb4 O18'
_space_group_name_H-M_alt 'P 63/m m c'
_space_group_IT_number 194
_space_group_name_Hall '-P 6c 2c'
_cell_length_a 5.9328
_cell_length_b 5.9328
_cell_length_c 14.6541
_cell_angle_alpha 90.00
_cell_angle_beta 90.00
_cell_angle_gamma 120.00
loop_
_atom_site_label
_atom_site_type_symbol
_atom_site_fract_x
_atom_site_fract_y
_atom_site_fract_z
_atom_site_occupancy
Ba1 Ba 0.0000 0.0000 0.2500 1
Ba2 Ba 0.3333 0.6667 0.0879 1
Mg1 Mg 0.0000 0.0000 0.0000 1
Sb1 Sb 0.3333 0.6667 0.6515 1
O1 O 0.0366 0.5183 0.7500 1
O2 O 0.1691 0.3381 0.5837 1
```

Calculated values
Relative energy among the computed polymorphs, meV/atom: 0.0

The following is a PBE calculation of a relaxed Ba3MgSb2O9 crystal, from Alexandria via LeMat-Bulk.

Geometry as CIF:
```
data_Ba3MgSb2O9
_chemical_formula_sum 'Ba3 Mg1 Sb2 O9'
_space_group_name_H-M_alt 'P -3 m 1'
_space_group_IT_number 164
_space_group_name_Hall '-P 3 2"'
_cell_length_a 5.8510
_cell_length_b 5.8510
_cell_length_c 7.1824
_cell_angle_alpha 90.00
_cell_angle_beta 90.00
_cell_angle_gamma 120.00
loop_
_atom_site_label
_atom_site_type_symbol
_atom_site_fract_x
_atom_site_fract_y
_atom_site_fract_z
_atom_site_occupancy
Ba1 Ba 0.0000 0.0000 0.0000 1
Ba2 Ba 0.3333 0.6667 0.6586 1
Mg1 Mg 0.0000 0.0000 0.5000 1
Sb1 Sb 0.3333 0.6667 0.1745 1
O1 O 0.0000 0.5000 0.0000 1
O2 O 0.1704 0.3408 0.3244 1
```

Calculated values
Relative energy among the computed polymorphs, meV/atom: 20.8

The following is a PBE calculation of a relaxed Ba3Mg2SbO8 crystal, from Alexandria via LeMat-Bulk.

Geometry as CIF:
```
data_Ba3Mg2SbO8
_chemical_formula_sum 'Ba3 Mg2 Sb1 O8'
_space_group_name_H-M_alt 'P -3 m 1'
_space_group_IT_number 164
_space_group_name_Hall '-P 3 2"'
_cell_length_a 5.8812
_cell_length_b 5.8812
_cell_length_c 7.6376
_cell_angle_alpha 90.00
_cell_angle_beta 90.00
_cell_angle_gamma 120.00
loop_
_atom_site_label
_atom_site_type_symbol
_atom_site_fract_x
_atom_site_fract_y
_atom_site_fract_z
_atom_site_occupancy
Ba1 Ba 0.0000 0.0000 0.0000 1
Ba2 Ba 0.3333 0.6667 0.6536 1
Mg1 Mg 0.3333 0.6667 0.2350 1
Sb1 Sb 0.0000 0.0000 0.5000 1
O1 O 0.1585 0.3170 0.3418 1
O2 O 0.3333 0.6667 0.9847 1
```

no.,V (A^3/atom),formation energy (no corrections) (eV per atom),DFT total energy (eV per cell)
1,21.81,-1.337,-147.34
2,13.33,-2.085,-229.38
3,14.62,-2.191,-249.93
4,18.04,-1.787,-189.27
5,17.84,-2.090,-70.43
6,14.89,-2.280,-188.88
7,14.20,-2.260,-94.13
8,16.34,-2.233,-84.01